(1)
Entry from OQMD via LeMat-Bulk: a geometry-optimized Sc2TlAg structure (PBE-GGA).

Cell: 3.4803 3.4803 7.1831 Å, 90.00 90.00 90.00°
Positions (direct):
Sc 0.5000 0.5000 0.2330
Sc 0.5000 0.5000 0.7670
Ag 0.0000 0.0000 0.0000
Tl 0.0000 0.0000 0.5000

Values from the calculation:
size of the total moment	0.08	Bohr magnetons per cell
polymorph energy (0 for the lowest one)	12.9	meV per atom
space group	No. 123
E	-4.75	eV/atom



(2)
Entry from OQMD via LeMat-Bulk: a geometry-optimized ScTlAg structure (PBE-GGA).

Cell: 4.7288 4.7288 4.7288 Å, 60.00 60.00 60.00°
Positions (direct):
Ag 0.2500 0.2500 0.2500
Sc 0.0000 0.0000 0.0000
Tl 0.7500 0.7500 0.7500

Values from the calculation:
size of the total moment	0.01	Bohr magnetons per cell
space group	No. 216
E	-3.67	eV/atom



(3)
Entry from OQMD via LeMat-Bulk: a geometry-optimized Sc5Tl4Ag structure (PBE-GGA).

Cell: 3.4171 3.4171 19.4592 Å, 90.00 90.00 90.00°
Positions (direct):
Sc 0.5000 0.5000 0.0882
Sc 0.5000 0.5000 0.7072
Sc 0.5000 0.5000 0.2928
Sc 0.5000 0.5000 0.9118
Sc 0.5000 0.5000 0.5000
Tl 0.0000 0.0000 0.6037
Tl 0.0000 0.0000 0.8106
Tl 0.0000 0.0000 0.3963
Tl 0.0000 0.0000 0.1894
Ag 0.0000 0.0000 0.0000

Values from the calculation:
size of the total moment	1.02	Bohr magnetons per cell
space group	No. 123
E	-4.66	eV/atom



(4)
Entry from OQMD via LeMat-Bulk: a geometry-optimized TmScAg structure (PBE-GGA).

Cell: 4.7618 4.7618 4.7618 Å, 60.00 60.00 60.00°
Positions (direct):
Tm 0.0000 0.0000 0.0000
Sc 0.7500 0.7500 0.7500
Ag 0.2500 0.2500 0.2500

Values from the calculation:
size of the total moment	0.00	Bohr magnetons per cell
polymorph energy (0 for the lowest one)	62.3	meV per atom
space group	No. 216
E	-3.94	eV/atom



(5)
Entry from OQMD via LeMat-Bulk: a geometry-optimized TmScAg structure (PBE-GGA).

Cell: 4.7244 4.7244 4.7244 Å, 60.00 60.00 60.00°
Positions (direct):
Tm 0.7500 0.7500 0.7500
Ag 0.2500 0.2500 0.2500
Sc 0.0000 0.0000 0.0000

Values from the calculation:
size of the total moment	0.00	Bohr magnetons per cell
polymorph energy (0 for the lowest one)	0.0	meV per atom
space group	No. 216
E	-4.00	eV/atom



(6)
Entry from OQMD via LeMat-Bulk: a geometry-optimized ScUAg structure (PBE-GGA).

Cell: 4.7888 4.7888 4.7888 Å, 60.00 60.00 60.00°
Positions (direct):
U 0.0000 0.0000 0.0000
Sc 0.7500 0.7500 0.7500
Ag 0.2500 0.2500 0.2500

Values from the calculation:
size of the total moment	3.29	Bohr magnetons per cell
polymorph energy (0 for the lowest one)	101.9	meV per atom
space group	No. 216
E	-5.71	eV/atom